No. 1
Ca4Bi2Sb | GGA-PBE | optimized geometry

Summary:
- E_form (uncorrected): -4.275 eV per formula unit
- E_tot: -3.452 eV/atom
- Theoretical density: 4.304 Mg/m³
- ΔE to the lowest computed polymorph: 0.201 eV per atom

Unit cell a=5.690 b=5.690 c=16.682 alpha=90.00 beta=90.00 gamma=90.00
Space group I4/mmm (No. 139)
Inequivalent atoms, fractional coordinates:
Ca (0.000, 0.000, 0.182) x4
Ca (0.000, 0.500, 0.000) x4
Bi (0.000, 0.000, 0.371) x4
Sb (0.000, 0.000, 0.000) x2

***

No. 2
Li2ScAu2 | GGA-PBE | optimized geometry

Summary:
- ΔE_f: -0.529 eV per atom
- E_tot: -3.872 eV/atom
- Theoretical density: 8.411 Mg/m³
- ΔE to the lowest computed polymorph: 0.012 eV per atom

Unit cell a=3.625 b=3.625 c=13.601 alpha=90.00 beta=90.00 gamma=90.00
Space group I4/mmm (No. 139)
Inequivalent atoms, fractional coordinates:
Li (0.000, 0.500, 0.250) x4
Sc (0.000, 0.000, 0.000) x2
Au (0.000, 0.000, 0.396) x4

***

No. 3
Rb3BeO3 | GGA-PBE | optimized geometry

Summary:
- E_form (uncorrected): -10.337 eV per formula unit
- E_tot: -4.549 eV/atom
- Theoretical density: 3.268 Mg/m³

Unit cell a=8.0258 b=8.0258 c=5.7102 alpha=90.00 beta=90.00 gamma=120.00
Space group P6_3/m (No. 176)
Inequivalent atoms, fractional coordinates:
Rb (0.0938, 0.3735, 0.2500) x6
Be (0.3333, 0.6667, 0.7500) x2
O (0.1563, 0.4605, 0.7500) x6

***

No. 4
HoAlFe | GGA-PBE | optimized geometry

Summary:
- ΔE_f: -0.132 eV per atom
- E_tot: -5.726 eV/atom
- Theoretical density: 7.815 Mg/m³

Unit cell a=3.162 b=3.162 c=10.528 alpha=90.00 beta=90.00 gamma=90.00
Space group I4mm (No. 107)
Inequivalent atoms, fractional coordinates:
Ho (0.000, 0.000, 0.000) x2
Al (0.000, 0.000, 0.279) x2
Fe (0.000, 0.000, 0.672) x2

***

No. 5
Nd2Er2Pb | GGA-PBE | optimized geometry

Summary:
- ΔE_f: -0.156 eV per atom
- E_tot: -4.630 eV/atom
- Theoretical density: 8.411 Mg/m³

Unit cell a=11.984 b=6.413 c=8.807 alpha=90.00 beta=104.41 gamma=90.00
Space group P2_1/c (No. 14)
Inequivalent atoms, fractional coordinates:
Nd (0.144, 0.099, 0.070) x4
Nd (0.275, 0.594, 0.964) x4
Er (0.047, 0.586, 0.185) x4
Er (0.472, 0.177, 0.165) x4
Pb (0.308, 0.085, 0.830) x4

***

No. 6
K4RbNa5 | GGA-PBE | optimized geometry

Summary:
- ΔE_f: 0.025 eV per atom
- E_tot: -1.171 eV/atom
- Theoretical density: 1.082 Mg/m³

Unit cell a=4.711 b=4.711 c=24.674 alpha=90.00 beta=90.00 gamma=90.00
Space group P4/mmm (No. 123)
Inequivalent atoms, fractional coordinates:
K (0.000, 0.000, 0.098) x2
K (0.000, 0.000, 0.295) x2
Rb (0.000, 0.000, 0.500) x1
Na (0.500, 0.500, 0.000) x1
Na (0.500, 0.500, 0.197) x2
Na (0.500, 0.500, 0.389) x2

***

M_tot: 0.00; 0.00; 1.01; 0.00; 0.00; 0.00 (μB/f.u.)